Density functional theory data (GGA-PBEsol) for an optimized crystal structure of TaIrS2N.

Cell and atoms, written as POSCAR:
```
TaIrS2N
1.0
4.745 0.000 0.000
0.000 4.745 0.000
0.000 0.000 3.592
Ta Ir S N
1 1 2 1
Cartesian
0.000 0.000 0.000 Ta
2.373 2.373 1.796 Ir
0.000 2.373 1.796 S
2.373 0.000 1.796 S
2.373 2.373 0.000 N
```

Properties
The density of states at the Fermi level is 0.7769 states/eV/atom. The value obtained for the raw total energy is -7.27 eV/atom. The crystal system is tetragonal. Its uncorrected formation energy is 0.666 eV/atom.